# 1
DFT (SCAN) results for a PBEsol-optimized structure of Li2CaAl.

Summary:
* formation energy from the elements: -0.3 eV/f.u.
* energy: -5.614 eV/atom

CIF file:
```
data_Li2CaAl
_space_group_name_H-M_alt 'P 4 m m'
_space_group_IT_number 99
_cell_length_a 3.381
_cell_length_b 3.381
_cell_length_c 7.742
_cell_angle_alpha 90.00
_cell_angle_beta 90.00
_cell_angle_gamma 90.00
loop_
_space_group_symop_operation_xyz
'x,y,z'
'-y,x,z'
'-x,-y,z'
'y,-x,z'
'-x,y,z'
'y,x,z'
'x,-y,z'
'-y,-x,z'
loop_
_atom_site_label
_atom_site_fract_x
_atom_site_fract_y
_atom_site_fract_z
Li1 0.000 0.000 0.000
Li2 0.500 0.500 0.208
Ca1 0.500 0.500 0.666
Al1 0.000 0.000 0.393
```

=====

# 2
DFT (SCAN) results for a PBEsol-optimized structure of BaZr2In.

Summary:
* formation energy from the elements: 1.2 eV/f.u.
* energy: -33.273 eV/atom

CIF file:
```
data_BaZr2In
_space_group_name_H-M_alt 'P m m m'
_space_group_IT_number 47
_cell_length_a 3.351
_cell_length_b 5.386
_cell_length_c 5.711
_cell_angle_alpha 90.00
_cell_angle_beta 90.00
_cell_angle_gamma 90.00
loop_
_space_group_symop_operation_xyz
'x,y,z'
'-x,-y,-z'
'-x,-y,z'
'x,y,-z'
'x,-y,-z'
'-x,y,z'
'-x,y,-z'
'x,-y,z'
loop_
_atom_site_label
_atom_site_fract_x
_atom_site_fract_y
_atom_site_fract_z
Ba1 0.000 0.000 0.000
Zr1 0.000 0.500 0.500
Zr2 0.500 0.500 0.000
In1 0.500 0.000 0.500
```